Here is YErTmCd after structural relaxation from the Alexandria database. Energies are from GGA-PBE.

Results
excess energy over the best structure of this formula in the dataset = 0.000 eV/atom
final energy = -4.25 eV per atom

POSCAR file:
```
YErTmCd
1.0
-0.7433 -0.3360 3.4633
0.0761 -3.5422 -0.3273
8.8189 0.0144 1.8941
Y Er Tm Cd
1 1 1 1
Direct
0.5000 0.5000 0.8001 Y
0.0000 0.0000 0.0750 Er
0.5000 0.5000 0.3426 Tm
0.0000 0.0000 0.5670 Cd
```

Here is YErTmCd after structural relaxation from the Alexandria database. Energies are from GGA-PBE.

Results
excess energy over the best structure of this formula in the dataset = 0.124 eV/atom
final energy = -4.13 eV per atom

POSCAR file:
```
YErTmCd
1.0
-1.4018 -4.1496 -3.1775
2.9989 -4.5039 -0.0487
-1.9259 -4.5567 2.1928
Y Cd Tm Er
1 1 1 1
Direct
0.7500 0.7500 0.7500 Y
0.0000 0.0000 0.0000 Cd
0.5000 0.5000 0.5000 Tm
0.2500 0.2500 0.2500 Er
```

Here is ErUCd after structural relaxation from the Alexandria database. Energies are from GGA-PBE.

Results
final energy = -5.30 eV per atom

POSCAR file:
```
ErUCd
1.0
5.4860 1.6617 -0.1047
1.6350 5.4940 -0.1047
-3.9719 -3.9913 5.7232
U Cd Er
2 2 2
Direct
0.4076 0.4076 0.7902 U
0.5924 0.5924 0.2098 U
0.7022 0.7022 0.6948 Cd
0.2978 0.2978 0.3052 Cd
0.0830 0.0830 0.7847 Er
0.9170 0.9170 0.2153 Er
```

Here is Er2VCd after structural relaxation from the Alexandria database. Energies are from GGA-PBE.

Results
excess energy over the best structure of this formula in the dataset = 0.543 eV/atom
final energy = -4.25 eV per atom

POSCAR file:
```
Er2VCd
1.0
-2.2811 1.9083 -1.3391
-3.1470 -0.4728 0.7149
-0.9373 7.4499 8.2410
V Cd Er
1 1 2
Direct
0.0000 0.0000 0.0000 V
0.5000 0.5000 0.5000 Cd
0.0855 0.0855 0.7434 Er
0.9145 0.9145 0.2566 Er
```